# Ba2GaBi

Ba2GaBi after structural relaxation (PBE-GGA, the Alexandria database).

The calculation puts the polymorph energy (0 for the lowest one) at 0.00 eV/f.u.

The structure belongs to space group P4/mmm (No. 123); the cell edges are 5.6442, 5.6442 and 4.7265 Å and the angles 90.00°, 90.00° and 90.00°. Symmetry generates all atoms from Ba at (0.0000, 0.5000, 0.0000), Ga at (0.0000, 0.0000, 0.5000) and Bi at (0.5000, 0.5000, 0.5000).


# Pa8Ir5Pt

Pa8Ir5Pt after structural relaxation (PBE-GGA, the Alexandria database).

The structure belongs to space group I-4 (No. 82); the cell edges are 8.6054, 8.6054 and 8.5733 Å and the angles 90.00°, 90.00° and 90.00°. Symmetry generates all atoms from Pa at (0.0483, 0.1751, 0.3169), Pa at (0.0745, 0.3078, 0.9354), Ir at (0.0000, 0.0000, 0.0000), Ir at (0.1280, 0.2630, 0.6199) and Pt at (0.0000, 0.5000, 0.2500).


# Pm6SmSn3

Pm6SmSn3 after structural relaxation (PBE-GGA, the Alexandria database).

The structure belongs to space group Cmc2_1 (No. 36); the cell edges are 10.9918, 15.3402 and 7.8133 Å and the angles 90.00°, 90.00° and 90.00°. Symmetry generates all atoms from Pm at (0.0000, 0.0483, 0.0000), Pm at (0.0000, 0.2866, 0.8460), Pm at (0.2099, 0.4636, 0.8289), Pm at (0.2400, 0.3041, 0.5112), Sm at (0.0000, 0.2107, 0.3241), Sn at (0.0000, 0.4243, 0.5336) and Sn at (0.1431, 0.1223, 0.6543).


# BaGaGePd3

BaGaGePd3 after structural relaxation (PBE-GGA, the Alexandria database).

The structure belongs to space group Cmcm (No. 63); the cell edges are 6.9138, 12.7418 and 6.1579 Å and the angles 90.00°, 90.00° and 90.00°. Symmetry generates all atoms from Ba at (0.0000, 0.2297, 0.2500), Ga at (0.0000, 0.4894, 0.7500), Ge at (0.0000, 0.1034, 0.7500), Pd at (0.0000, 0.2953, 0.7500) and Pd at (0.2127, 0.0000, 0.0000).


# MgNi2BRu

MgNi2BRu after structural relaxation (PBE-GGA, the Alexandria database).

The structure belongs to space group P4/mmm (No. 123); the cell edges are 3.8871, 3.8871 and 4.0745 Å and the angles 90.00°, 90.00° and 90.00°. Symmetry generates all atoms from Mg at (0.0000, 0.0000, 0.0000), Ni at (0.0000, 0.5000, 0.5000), B at (0.5000, 0.5000, 0.5000) and Ru at (0.5000, 0.5000, 0.0000).


# CaLuAgGe

CaLuAgGe after structural relaxation (PBE-GGA, the Alexandria database).

The structure belongs to space group F-43m (No. 216); the cell edges are 7.1634, 7.1634 and 7.1634 Å and the angles 90.00°, 90.00° and 90.00°. Symmetry generates all atoms from Ca at (0.0000, 0.0000, 0.0000), Lu at (0.0000, 0.0000, 0.5000), Ag at (0.2500, 0.2500, 0.7500) and Ge at (0.2500, 0.2500, 0.2500).


# Nb2TlGeAs

Nb2TlGeAs after structural relaxation (PBE-GGA, the Alexandria database).

The structure belongs to space group P4/mmm (No. 123); the cell edges are 4.9129, 4.9129 and 5.0991 Å and the angles 90.00°, 90.00° and 90.00°. Symmetry generates all atoms from Nb at (0.0000, 0.5000, 0.0000), Tl at (0.0000, 0.0000, 0.5000), Ge at (0.0000, 0.0000, 0.0000) and As at (0.5000, 0.5000, 0.5000).


# SmHfSc2

SmHfSc2 after structural relaxation (PBE-GGA, the Alexandria database).

The calculation puts the polymorph energy (0 for the lowest one) at 0.44 eV/f.u.

The structure belongs to space group Fm-3m (No. 225); the cell edges are 7.4095, 7.4095 and 7.4095 Å and the angles 90.00°, 90.00° and 90.00°. Symmetry generates all atoms from Sm at (0.0000, 0.0000, 0.0000), Hf at (0.0000, 0.0000, 0.5000) and Sc at (0.2500, 0.2500, 0.2500).


| no. | DFT formation energy (eV/atom) | N(E_F) (states/eV/cell) |
| --- | --- | --- |
| 1 | -0.56 | 2.52 |
| 2 | -0.67 | 53.69 |
| 3 | -0.37 | 51.02 |
| 4 | -0.57 | 13.01 |
| 5 | -0.19 | 4.80 |
| 6 | -0.50 | 6.54 |
| 7 | 1.12 | 5.41 |
| 8 | 0.19 | 27.90 |